Entry 1:
# Co2ReN GGA-PBE relaxed
# Crystal system   tetragonal
# Uncorrected formation energy   376 meV/atom
# Fermi-level density of states   0.643 states/eV/atom
# Total magnetic moment   0.000 μB per atom
# Electronic total energy   -8.370 eV/atom
data_Co2ReN
_chemical_formula_sum 'Co8 Re4 N4'
_cell_length_a 6.255
_cell_length_b 6.255
_cell_length_c 4.355
_cell_angle_alpha 90.00
_cell_angle_beta 90.00
_cell_angle_gamma 90.00
_space_group_name_H-M_alt 'I -4 2 d'
_space_group_IT_number 122
_space_group_name_Hall 'I -4 2bw'
loop_
_atom_site_label
_atom_site_type_symbol
_atom_site_fract_x
_atom_site_fract_y
_atom_site_fract_z
Co1 Co 0.151 0.250 0.125
Re1 Re 0.000 0.000 0.500
N1 N 0.000 0.000 0.000



Entry 2:
# PmPrY2Er2 GGA-PBE relaxed
# Crystal system   orthorhombic
# Fermi-level density of states   1.721 states/eV/atom
# ΔE_f   167 kJ/mol of formula units
# Total magnetic moment   0.000 μB per atom
# Electronic total energy   -4.975 eV/atom
data_PmPrY2Er2
_chemical_formula_sum 'Pm2 Pr2 Y4 Er4'
_cell_length_a 6.694
_cell_length_b 17.721
_cell_length_c 3.400
_cell_angle_alpha 90.00
_cell_angle_beta 90.00
_cell_angle_gamma 90.00
_space_group_name_H-M_alt 'P n n m'
_space_group_IT_number 58
_space_group_name_Hall '-P 2 2n'
loop_
_atom_site_label
_atom_site_type_symbol
_atom_site_fract_x
_atom_site_fract_y
_atom_site_fract_z
Pm1 Pm 0.000 0.000 0.000
Pr1 Pr 0.000 0.500 0.000
Y1 Y 0.231 0.154 0.500
Er1 Er 0.234 0.322 0.000



Entry 3:
# PuMgP2 GGA-PBE relaxed
# Crystal system   tetragonal
# Fermi-level density of states   2.277 states/eV/atom
# ΔE_f   -247 kJ/mol of formula units
# Total magnetic moment   1.103 μB per atom
# Electronic total energy   -7.327 eV/atom
data_PuMgP2
_chemical_formula_sum 'Pu1 Mg1 P2'
_cell_length_a 4.516
_cell_length_b 4.516
_cell_length_c 3.569
_cell_angle_alpha 90.00
_cell_angle_beta 90.00
_cell_angle_gamma 90.00
_space_group_name_H-M_alt 'P 4/m m m'
_space_group_IT_number 123
_space_group_name_Hall '-P 4 2'
loop_
_atom_site_label
_atom_site_type_symbol
_atom_site_fract_x
_atom_site_fract_y
_atom_site_fract_z
Pu1 Pu 0.000 0.000 0.000
Mg1 Mg 0.500 0.500 0.000
P1 P 0.000 0.500 0.500



Entry 4:
# LiCa2CdAg6 GGA-PBE relaxed
# Crystal system   triclinic
# Fermi-level density of states   0.407 states/eV/atom
# ΔE_f   -153 kJ/mol of formula units
# Total magnetic moment   0.000 μB per atom
# Electronic total energy   -2.553 eV/atom
data_LiCa2CdAg6
_chemical_formula_sum 'Li1 Ca2 Cd1 Ag6'
_cell_length_a 5.639
_cell_length_b 6.829
_cell_length_c 6.965
_cell_angle_alpha 92.71
_cell_angle_beta 113.07
_cell_angle_gamma 113.42
_space_group_name_H-M_alt 'P -1'
_space_group_IT_number 2
_space_group_name_Hall '-P 1'
loop_
_atom_site_label
_atom_site_type_symbol
_atom_site_fract_x
_atom_site_fract_y
_atom_site_fract_z
Li1 Li 0.000 0.000 0.000
Ca1 Ca 0.245 0.736 0.756
Cd1 Cd 0.500 0.500 0.500
Ag1 Ag 0.189 0.180 0.687
Ag2 Ag 0.245 0.433 0.056
Ag3 Ag 0.308 0.824 0.309



Entry 5:
# NaSiPd GGA-PBE relaxed
# Crystal system   orthorhombic
# Uncorrected formation energy   -320 meV/atom
# Fermi-level density of states   0.183 states/eV/atom
# Total magnetic moment   0.000 μB per atom
# Electronic total energy   -4.298 eV/atom
data_NaSiPd
_chemical_formula_sum 'Na8 Si8 Pd8'
_cell_length_a 5.136
_cell_length_b 8.064
_cell_length_c 10.577
_cell_angle_alpha 90.00
_cell_angle_beta 90.00
_cell_angle_gamma 90.00
_space_group_name_H-M_alt 'F m m m'
_space_group_IT_number 69
_space_group_name_Hall '-F 2 2'
loop_
_atom_site_label
_atom_site_type_symbol
_atom_site_fract_x
_atom_site_fract_y
_atom_site_fract_z
Na1 Na 0.000 0.169 0.000
Si1 Si 0.250 0.250 0.250
Pd1 Pd 0.000 0.000 0.312



Entry 6:
# EuHgPb2 GGA-PBE relaxed
# Crystal system   trigonal
# Fermi-level density of states   0.567 states/eV/atom
# ΔE_f   22 kJ/mol of formula units
# Total magnetic moment   1.878 μB per atom
# Electronic total energy   -4.441 eV/atom
data_EuHgPb2
_chemical_formula_sum 'Eu3 Hg3 Pb6'
_cell_length_a 3.6242
_cell_length_b 3.6242
_cell_length_c 34.4844
_cell_angle_alpha 90.00
_cell_angle_beta 90.00
_cell_angle_gamma 120.00
_space_group_name_H-M_alt 'R -3 m'
_space_group_IT_number 166
_space_group_name_Hall '-R 3 2"'
loop_
_atom_site_label
_atom_site_type_symbol
_atom_site_fract_x
_atom_site_fract_y
_atom_site_fract_z
Eu1 Eu 0.0000 0.0000 0.0000
Hg1 Hg 0.0000 0.0000 0.5000
Pb1 Pb 0.0000 0.0000 0.0954



Entry 7:
# BaEr2Se GGA-PBE relaxed
# Crystal system   trigonal
# Uncorrected formation energy   -572 meV/atom
# Fermi-level density of states   0.965 states/eV/atom
# Total magnetic moment   0.123 μB per atom
# Electronic total energy   -4.205 eV/atom
data_BaEr2Se
_chemical_formula_sum 'Ba3 Er6 Se3'
_cell_length_a 3.8318
_cell_length_b 3.8318
_cell_length_c 32.1592
_cell_angle_alpha 90.00
_cell_angle_beta 90.00
_cell_angle_gamma 120.00
_space_group_name_H-M_alt 'R -3 m'
_space_group_IT_number 166
_space_group_name_Hall '-R 3 2"'
loop_
_atom_site_label
_atom_site_type_symbol
_atom_site_fract_x
_atom_site_fract_y
_atom_site_fract_z
Ba1 Ba 0.0000 0.0000 0.0000
Er1 Er 0.0000 0.0000 0.1134
Se1 Se 0.0000 0.0000 0.5000



Entry 8:
# BaLiAcPt GGA-PBE relaxed
# Crystal system   cubic
# Fermi-level density of states   1.242 states/eV/atom
# ΔE_f   -132 kJ/mol of formula units
# Total magnetic moment   0.000 μB per atom
# Electronic total energy   -3.838 eV/atom
data_BaLiAcPt
_chemical_formula_sum 'Ba4 Li4 Ac4 Pt4'
_cell_length_a 7.789
_cell_length_b 7.789
_cell_length_c 7.789
_cell_angle_alpha 90.00
_cell_angle_beta 90.00
_cell_angle_gamma 90.00
_space_group_name_H-M_alt 'F -4 3 m'
_space_group_IT_number 216
_space_group_name_Hall 'F -4 2 3'
loop_
_atom_site_label
_atom_site_type_symbol
_atom_site_fract_x
_atom_site_fract_y
_atom_site_fract_z
Ba1 Ba 0.000 0.000 0.000
Li1 Li 0.250 0.250 0.750
Ac1 Ac 0.000 0.000 0.500
Pt1 Pt 0.250 0.250 0.250



Entry 9:
# Pm3ScIr2 GGA-PBE relaxed
# Crystal system   monoclinic
# Fermi-level density of states   1.096 states/eV/atom
# ΔE_f   -306 kJ/mol of formula units
# Total magnetic moment   0.000 μB per atom
# Electronic total energy   -6.914 eV/atom
data_Pm3ScIr2
_chemical_formula_sum 'Pm6 Sc2 Ir4'
_cell_length_a 15.438
_cell_length_b 4.302
_cell_length_c 4.715
_cell_angle_alpha 90.00
_cell_angle_beta 107.73
_cell_angle_gamma 90.00
_space_group_name_H-M_alt 'C 1 2/m 1'
_space_group_IT_number 12
_space_group_name_Hall '-C 2y'
loop_
_atom_site_label
_atom_site_type_symbol
_atom_site_fract_x
_atom_site_fract_y
_atom_site_fract_z
Pm1 Pm 0.000 0.000 0.000
Pm2 Pm 0.185 0.500 0.186
Sc1 Sc 0.000 0.500 0.500
Ir1 Ir 0.124 0.000 0.624



Entry 10:
# In2Ga2Mo GGA-PBE relaxed
# Crystal system   tetragonal
# Fermi-level density of states   0.481 states/eV/atom
# ΔE_f   151 kJ/mol of formula units
# Total magnetic moment   0.000 μB per atom
# Electronic total energy   -4.159 eV/atom
data_In2Ga2Mo
_chemical_formula_sum 'In4 Ga4 Mo2'
_cell_length_a 7.010
_cell_length_b 7.010
_cell_length_c 3.959
_cell_angle_alpha 90.00
_cell_angle_beta 90.00
_cell_angle_gamma 90.00
_space_group_name_H-M_alt 'P 4/m b m'
_space_group_IT_number 127
_space_group_name_Hall '-P 4 2ab'
loop_
_atom_site_label
_atom_site_type_symbol
_atom_site_fract_x
_atom_site_fract_y
_atom_site_fract_z
In1 In 0.163 0.337 0.000
Ga1 Ga 0.146 0.646 0.500
Mo1 Mo 0.000 0.000 0.500



Entry 11:
# TbHoAlIr GGA-PBE relaxed
# Crystal system   cubic
# Fermi-level density of states   0.838 states/eV/atom
# ΔE_f   -216 kJ/mol of formula units
# Total magnetic moment   0.000 μB per atom
# Electronic total energy   -6.014 eV/atom
data_TbHoAlIr
_chemical_formula_sum 'Tb4 Ho4 Al4 Ir4'
_cell_length_a 7.032
_cell_length_b 7.032
_cell_length_c 7.032
_cell_angle_alpha 90.00
_cell_angle_beta 90.00
_cell_angle_gamma 90.00
_space_group_name_H-M_alt 'F -4 3 m'
_space_group_IT_number 216
_space_group_name_Hall 'F -4 2 3'
loop_
_atom_site_label
_atom_site_type_symbol
_atom_site_fract_x
_atom_site_fract_y
_atom_site_fract_z
Tb1 Tb 0.000 0.000 0.000
Ho1 Ho 0.000 0.000 0.500
Al1 Al 0.250 0.250 0.750
Ir1 Ir 0.250 0.250 0.250



Entry 12:
# Cd2SCl2 GGA-PBE relaxed
# Crystal system   monoclinic
# Uncorrected formation energy   -855 meV/atom
# Fermi-level density of states   0.000 states/eV/atom
# Total magnetic moment   0.000 μB per atom
# Electronic total energy   -2.785 eV/atom
data_Cd2SCl2
_chemical_formula_sum 'Cd4 S2 Cl4'
_cell_length_a 6.748
_cell_length_b 3.894
_cell_length_c 9.447
_cell_angle_alpha 90.00
_cell_angle_beta 90.22
_cell_angle_gamma 90.00
_space_group_name_H-M_alt 'C 1 2/m 1'
_space_group_IT_number 12
_space_group_name_Hall '-C 2y'
loop_
_atom_site_label
_atom_site_type_symbol
_atom_site_fract_x
_atom_site_fract_y
_atom_site_fract_z
Cd1 Cd 0.168 0.000 0.167
S1 S 0.000 0.500 0.000
Cl1 Cl 0.165 0.000 0.679